Np2Al9Rh3 after structural relaxation. Source: Alexandria via LeMat-Bulk, functional GGA-PBE.

Computed properties:
- Calculated total energy: -6.40 eV/atom
- SG: C2/c, No. 15
- Density of states at the Fermi level: 45.46 states/eV per cell
- Calculated volume: 472.5 Å³ per cell

Cell lengths 7.6107, 7.6107, 10.4352 Å; angles 111.54, 111.54, 59.63 degrees
With the nearest neighbours (Å) after each atom.
Positions (direct):
Np 0.0858 0.2506 0.2477  11 Al 3.03-3.14
Np 0.2506 0.0858 0.7477  11 Al 3.03-3.14
Np 0.7494 0.9142 0.2523  11 Al 3.03-3.14
Np 0.9142 0.7494 0.7523  11 Al 3.03-3.14
Al 0.0241 0.8581 0.0765  3 Rh 2.57-2.64, 3 Al 2.78-2.81
Al 0.1419 0.9759 0.4235  3 Rh 2.57-2.64, 3 Al 2.78-2.81
Al 0.1906 0.3603 0.5722  3 Rh 2.59-2.62, 4 Al 2.76-2.85
Al 0.2122 0.5790 0.2520  2 Rh 2.54-2.57, 6 Al 2.76-2.84
Al 0.3136 0.4827 0.9444  3 Rh 2.59-2.64, 5 Al 2.75-2.89
Al 0.3603 0.1906 0.0722  3 Rh 2.59-2.62, 4 Al 2.76-2.85
Al 0.3690 0.6310 0.7500  2 Rh 2.56, 4 Al 2.76-2.78
Al 0.4210 0.7878 0.2480  2 Rh 2.54-2.57, 6 Al 2.76-2.84
Al 0.4827 0.3136 0.4444  3 Rh 2.59-2.64, 5 Al 2.75-2.89
Al 0.5173 0.6864 0.5556  3 Rh 2.59-2.64, 5 Al 2.75-2.89
Al 0.5790 0.2122 0.7520  2 Rh 2.54-2.57, 6 Al 2.76-2.84
Al 0.6310 0.3690 0.2500  2 Rh 2.56, 4 Al 2.76-2.78
Al 0.6397 0.8094 0.9278  3 Rh 2.59-2.62, 4 Al 2.76-2.85
Al 0.6864 0.5173 0.0556  3 Rh 2.59-2.64, 5 Al 2.75-2.89
Al 0.7878 0.4210 0.7480  2 Rh 2.54-2.57, 6 Al 2.76-2.84
Al 0.8094 0.6397 0.4278  3 Rh 2.59-2.62, 4 Al 2.76-2.85
Al 0.8581 0.0241 0.5765  3 Rh 2.57-2.64, 3 Al 2.78-2.81
Al 0.9759 0.1419 0.9235  3 Rh 2.57-2.64, 3 Al 2.78-2.81
Rh 0.0000 0.5000 0.0000  8 Al 2.57-2.63
Rh 0.1577 0.6720 0.4989  8 Al 2.54-2.64
Rh 0.3280 0.8423 0.0011  8 Al 2.54-2.64
Rh 0.5000 0.0000 0.5000  8 Al 2.57-2.63
Rh 0.6720 0.1577 0.9989  8 Al 2.54-2.64
Rh 0.8423 0.3280 0.5011  8 Al 2.54-2.64